V2NiSb | PBE | relaxed

Cell: 6.170 6.170 6.170 Å, 90.00 90.00 90.00°
Space group Fm-3m (No. 225)
One atom of each set of equivalent atoms:
1 V 0.250 0.250 0.250 (multiplicity 8)
2 Ni 0.000 0.000 0.000 (multiplicity 4)
3 Sb 0.000 0.000 0.500 (multiplicity 4)

Values from the calculation:
Total magnetic moment   0.0 μB/cell
Energy   -6.943 eV per atom
Uncorrected formation energy   0.092 eV/atom
Fermi-level density of states   16.9 states/eV/cell

GdYFeAu | PBE | relaxed

Cell: 7.061 7.061 7.061 Å, 90.00 90.00 90.00°
Space group F-43m (No. 216)
One atom of each set of equivalent atoms:
1 Gd 0.000 0.000 0.000 (multiplicity 4)
2 Y 0.000 0.000 0.500 (multiplicity 4)
3 Fe 0.250 0.250 0.750 (multiplicity 4)
4 Au 0.250 0.250 0.250 (multiplicity 4)

Values from the calculation:
Total magnetic moment   34.0 μB/cell
Energy   -8.322 eV per atom
Fermi-level density of states   27.4 states/eV/cell
Formation energy   -1.0 eV/f.u.

Sm2Y7Th2 | PBE | relaxed

Cell: 11.390 11.629 6.040 Å, 90.00 113.45 90.00°
Space group C2/m (No. 12)
One atom of each set of equivalent atoms:
1 Sm 0.232 0.000 0.092 (multiplicity 4)
2 Y 0.000 0.000 0.500 (multiplicity 2)
3 Y 0.091 0.500 0.303 (multiplicity 4)
4 Y 0.174 0.234 0.669 (multiplicity 8)
5 Th 0.000 0.212 0.000 (multiplicity 4)

Values from the calculation:
Total magnetic moment   0.0 μB/cell
Energy   -6.134 eV per atom
Fermi-level density of states   34.0 states/eV/cell
Formation energy   2.1 eV/f.u.

SmTlGe4 | PBE | relaxed

Cell: 8.074 8.074 8.074 Å, 90.00 90.00 90.00°
Space group F-43m (No. 216)
One atom of each set of equivalent atoms:
1 Sm 0.000 0.000 0.000 (multiplicity 4)
2 Tl 0.250 0.250 0.750 (multiplicity 4)
3 Ge 0.126 0.126 0.374 (multiplicity 16)

Values from the calculation:
Total magnetic moment   0.0 μB/cell
Energy   -4.420 eV per atom
Fermi-level density of states   11.9 states/eV/cell
Formation energy   -1.0 eV/f.u.

Na4LiSb5 | PBE | relaxed

Cell: 3.271 3.271 23.597 Å, 90.00 90.00 90.00°
Space group P4/mmm (No. 123)
One atom of each set of equivalent atoms:
1 Na 0.000 0.000 0.103 (multiplicity 2)
2 Na 0.000 0.000 0.307 (multiplicity 2)
3 Li 0.000 0.000 0.500 (multiplicity 1)
4 Sb 0.500 0.500 0.000 (multiplicity 1)
5 Sb 0.500 0.500 0.205 (multiplicity 2)
6 Sb 0.500 0.500 0.412 (multiplicity 2)

Values from the calculation:
Total magnetic moment   0.0 μB/cell
Energy   -3.110 eV per atom
Uncorrected formation energy   -0.330 eV/atom
Fermi-level density of states   3.2 states/eV/cell

LaCo2Cu | PBE | relaxed

Cell: 4.257 4.169 4.288 Å, 90.00 96.88 90.00°
Space group P2/m (No. 10)
One atom of each set of equivalent atoms:
1 La 0.000 0.000 0.000 (multiplicity 1)
2 Co 0.255 0.500 0.596 (multiplicity 2)
3 Cu 0.500 0.000 0.500 (multiplicity 1)

Values from the calculation:
Total magnetic moment   1.9 μB/cell
Energy   -5.572 eV per atom
Fermi-level density of states   4.4 states/eV/cell
Formation energy   0.9 eV/f.u.

CaGa2Rh2 | PBE | relaxed

Cell: 4.170 4.170 10.761 Å, 90.00 90.00 90.00°
Space group I4/mmm (No. 139)
One atom of each set of equivalent atoms:
1 Ca 0.000 0.000 0.000 (multiplicity 2)
2 Ga 0.000 0.500 0.250 (multiplicity 4)
3 Rh 0.000 0.000 0.381 (multiplicity 4)

Values from the calculation:
Total magnetic moment   0.0 μB/cell
Energy   -5.159 eV per atom
Fermi-level density of states   5.3 states/eV/cell
Formation energy   -3.0 eV/f.u.

Pr3Sm5H12 | PBE | relaxed

Cell: 13.600 13.600 13.600 Å, 90.00 90.00 90.00°
Space group Ia-3d (No. 230)
One atom of each set of equivalent atoms:
1 Pr 0.000 0.250 0.125 (multiplicity 24)
2 Sm 0.000 0.000 0.000 (multiplicity 16)
3 Sm 0.000 0.250 0.375 (multiplicity 24)
4 H 0.006 0.069 0.654 (multiplicity 96)

Values from the calculation:
Total magnetic moment   0.0 μB/cell
Energy   -4.346 eV per atom
Fermi-level density of states   128.6 states/eV/cell

Ho4Zn3Pd | PBE | relaxed

Cell: 3.554 3.554 13.964 Å, 90.00 90.00 90.00°
Space group P4/mmm (No. 123)
One atom of each set of equivalent atoms:
1 Ho 0.000 0.000 0.121 (multiplicity 2)
2 Ho 0.000 0.000 0.374 (multiplicity 2)
3 Zn 0.500 0.500 0.250 (multiplicity 2)
4 Zn 0.500 0.500 0.500 (multiplicity 1)
5 Pd 0.500 0.500 0.000 (multiplicity 1)

Values from the calculation:
Total magnetic moment   0.0 μB/cell
Energy   -3.913 eV per atom
Fermi-level density of states   6.1 states/eV/cell
Formation energy   -4.0 eV/f.u.

Zn3Hg2 | PBE | relaxed

Cell: 7.6066 7.6066 12.6351 Å, 90.00 90.00 120.00°
Space group R-3c (No. 167, hexagonal axes)
One atom of each set of equivalent atoms:
1 Zn 0.0000 0.2983 0.2500 (multiplicity 18)
2 Hg 0.0000 0.0000 0.1185 (multiplicity 12)

Values from the calculation:
Total magnetic moment   0.0 μB/cell
Energy   -0.710 eV per atom
Fermi-level density of states   12.4 states/eV/cell
Formation energy   0.9 eV/f.u.

Te6IrBr3 | PBE | relaxed

Cell: 15.4775 15.4775 10.0128 Å, 90.00 90.00 120.00°
Space group R-3c (No. 167, hexagonal axes)
One atom of each set of equivalent atoms:
1 Te 0.0738 0.1643 0.0959 (multiplicity 36)
2 Ir 0.0000 0.0000 0.2500 (multiplicity 6)
3 Br 0.0000 0.2603 0.7500 (multiplicity 18)

Values from the calculation:
Total magnetic moment   0.0 μB/cell
Energy   -3.559 eV per atom
Uncorrected formation energy   -0.286 eV/atom

La2Pr3Ho | PBE | relaxed

Cell: 17.480 7.055 7.155 Å, 90.00 101.82 90.00°
Space group C2/c (No. 15)
One atom of each set of equivalent atoms:
1 La 0.172 0.014 0.090 (multiplicity 8)
2 Pr 0.000 0.234 0.750 (multiplicity 4)
3 Pr 0.141 0.489 0.566 (multiplicity 8)
4 Ho 0.000 0.240 0.250 (multiplicity 4)

Values from the calculation:
Total magnetic moment   0.0 μB/cell
Energy   -4.675 eV per atom
Fermi-level density of states   33.5 states/eV/cell
Formation energy   0.7 eV/f.u.

What did the ninth record say?
Ho4Zn3Pd | PBE | relaxed

Cell: 3.554 3.554 13.964 Å, 90.00 90.00 90.00°
Space group P4/mmm (No. 123)
One atom of each set of equivalent atoms:
1 Ho 0.000 0.000 0.121 (multiplicity 2)
2 Ho 0.000 0.000 0.374 (multiplicity 2)
3 Zn 0.500 0.500 0.250 (multiplicity 2)
4 Zn 0.500 0.500 0.500 (multiplicity 1)
5 Pd 0.500 0.500 0.000 (multiplicity 1)

Values from the calculation:
Total magnetic moment   0.0 μB/cell
Energy   -3.913 eV per atom
Fermi-level density of states   6.1 states/eV/cell
Formation energy   -4.0 eV/f.u.